No. 1
PBE NdHoTl4, relaxed; formation energy = -22.71 kJ per mole of atoms; space group = Pm (6)
1.0
3.809 -0.013 0.016
0.018 5.105 0.006
0.031 -0.010 8.766
Nd Ho Tl
1 1 4
direct
0.253 0.497 0.999 Nd
0.250 0.997 0.497 Ho
0.877 0.997 0.169 Tl
0.621 0.997 0.826 Tl
0.904 0.497 0.662 Tl
0.603 0.497 0.337 Tl

***

No. 2
PBE CoAg2Mo, relaxed; formation energy = 59.83 kJ per mole of atoms; space group = Cmmm (65)
1.0
5.183 0.000 0.000
-2.399 4.595 0.000
0.000 0.000 2.644
Ag Co Mo
2 1 1
direct
0.000 0.000 0.000 Ag
0.500 0.500 0.000 Ag
0.500 0.000 0.500 Co
0.000 0.500 0.500 Mo

***

No. 3
PBE MnNi2Ir2, relaxed; formation energy = 2.80 kJ per mole of atoms; space group = Imma (74)
1.0
-2.379 -1.212 -3.286
2.180 -4.855 0.215
-4.146 1.291 5.253
Mn Ni Ir
2 4 4
direct
0.389 0.139 0.279 Mn
0.611 0.861 0.721 Mn
0.620 0.370 0.740 Ni
0.998 0.748 0.496 Ni
0.002 0.252 0.504 Ni
0.380 0.630 0.260 Ni
0.818 0.319 0.136 Ir
0.818 0.817 0.136 Ir
0.182 0.183 0.864 Ir
0.182 0.681 0.864 Ir

***

No. 4
PBE Ca2SbCl, relaxed; formation energy (no corrections) = -1.369 eV/atom; space group = Pmmm (47)
1.0
3.897 0.000 0.000
0.000 4.141 -0.025
0.000 0.042 7.597
Sb Ca Cl
1 2 1
direct
0.500 0.750 0.750 Sb
0.000 0.250 0.964 Ca
0.000 0.250 0.536 Ca
0.500 0.250 0.250 Cl

***

No. 5
PBE CsRb3O, relaxed; formation energy (no corrections) = 0.703 eV/atom; space group = Pm-3m (221)
1.0
8.343 0.000 0.000
0.000 8.343 0.000
0.000 0.000 8.343
Cs O Rb
1 1 3
direct
0.000 0.000 0.000 Cs
0.500 0.500 0.500 O
0.000 0.500 0.000 Rb
0.000 0.000 0.500 Rb
0.500 0.000 0.000 Rb

***

No. 6
PBE Ho2ThGa4, relaxed; formation energy = -62.02 kJ per mole of atoms; space group = Immm (71)
1.0
-3.745 0.018 1.762
1.365 -2.833 2.931
3.777 8.271 3.083
Ga Ho Th
4 2 1
direct
0.649 0.649 0.297 Ga
0.351 0.351 0.703 Ga
0.068 0.568 0.136 Ga
0.932 0.432 0.864 Ga
0.816 0.816 0.631 Ho
0.184 0.184 0.369 Ho
0.500 0.000 0.000 Th

***

No. 7
PBE Sm8ErTm2, relaxed; formation energy = 42.26 kJ per mole of atoms; space group = C2/m (12)
1.0
-1.855 4.223 3.548
-1.824 -4.762 6.575
7.300 1.758 3.585
Sm Er Tm
8 1 2
direct
0.770 0.134 0.632 Sm
0.230 0.368 0.866 Sm
0.909 0.268 0.268 Sm
0.091 0.732 0.732 Sm
0.770 0.632 0.134 Sm
0.230 0.866 0.368 Sm
0.285 0.428 0.428 Sm
0.715 0.572 0.572 Sm
0.000 0.000 0.000 Er
0.482 0.139 0.139 Tm
0.518 0.861 0.861 Tm

***

No. 8
PBE Be2CoRu, relaxed; formation energy = -9.19 kJ per mole of atoms; space group = Immm (71)
1.0
4.258 -0.019 -0.008
1.334 4.044 0.008
-2.396 -2.569 2.407
Ru Co Be
1 1 2
direct
0.250 0.750 0.500 Ru
0.750 0.250 0.500 Co
0.993 0.993 0.000 Be
0.507 0.507 0.000 Be

***

No. 9
PBE Be2SbPb, relaxed; formation energy (no corrections) = 0.722 eV/atom; space group = C2/m (12)
1.0
6.256 0.079 0.176
-2.761 4.030 -0.029
0.733 1.408 3.138
Pb Sb Be
1 1 2
direct
0.000 0.500 0.500 Pb
0.500 0.500 0.000 Sb
0.000 0.000 0.000 Be
0.500 0.000 0.500 Be

***

No. 10
PBE Dy2Th3Sc4, relaxed; formation energy = 11.70 kJ per mole of atoms; space group = C2/c (15)
1.0
5.805 0.098 0.499
0.669 9.042 3.413
0.287 -0.281 9.679
Dy Th Sc
4 6 8
direct
0.204 0.749 0.492 Dy
0.296 0.508 0.251 Dy
0.796 0.251 0.508 Dy
0.704 0.492 0.749 Dy
0.108 0.966 0.717 Th
0.392 0.283 0.034 Th
0.892 0.034 0.283 Th
0.608 0.717 0.966 Th
0.250 0.375 0.625 Th
0.750 0.625 0.375 Th
0.542 0.070 0.826 Sc
0.958 0.174 0.930 Sc
0.458 0.930 0.174 Sc
0.042 0.826 0.070 Sc
0.649 0.860 0.604 Sc
0.851 0.396 0.140 Sc
0.351 0.140 0.396 Sc
0.149 0.604 0.860 Sc

***

Number 1: Fermi-level density of states 0.5148 states/eV/atom, VASP energy -20.2 eV/f.u.. Number 2: Fermi-level density of states 1.1109 states/eV/atom, VASP energy -21.2 eV/f.u.. Number 3: Fermi-level density of states 1.2948 states/eV/atom, VASP energy -38.3 eV/f.u.. Number 4: Fermi-level density of states 0.2164 states/eV/atom, VASP energy -15.4 eV/f.u.. Number 5: Fermi-level density of states 8.1261 states/eV/atom, VASP energy -5.2 eV/f.u.. Number 6: Fermi-level density of states 0.6169 states/eV/atom, VASP energy -33.2 eV/f.u.. Number 7: Fermi-level density of states 1.4845 states/eV/atom, VASP energy -46.4 eV/f.u.. Number 8: Fermi-level density of states 0.7403 states/eV/atom, VASP energy -24.2 eV/f.u.. Number 9: Fermi-level density of states 0.3311 states/eV/atom, VASP energy -12.4 eV/f.u.. Number 10: Fermi-level density of states 1.4833 states/eV/atom, VASP energy -55.7 eV/f.u..